TlWSe2 | PBE-GGA | optimized geometry

The structure belongs to space group F-43m (No. 216); the cell edges are 6.9581, 6.9581 and 6.9581 Å and the angles 90.00°, 90.00° and 90.00°. Symmetry generates all atoms from Tl at (0.0000, 0.0000, 0.0000), W at (0.2500, 0.2500, 0.2500), Se at (0.0000, 0.0000, 0.5000) and Se at (0.2500, 0.2500, 0.7500).

Its calculated volume is 21.055 A^3/atom. The calculation puts the uncorrected formation energy at 1110 meV per atom. The total DFT energy (no corrections) comes out at -4.46 eV per atom.